(1)
An optimized crystal structure of LiRhBr, computed with GGA-PBE.

## Properties
raw total energy	-3.687	eV/atom
formation energy (no corrections)	-0.04	eV per atom
energy relative to the lowest polymorph listed for this composition	0.048	eV per atom
N(E_F)	3.4	states/eV/f.u.

Cell and atoms, written as POSCAR:
```
LiRhBr
1.0
-1.187 -4.707 0.289
2.495 -3.358 -2.481
0.841 3.769 2.955
Li Br Rh
1 1 1
Cartesian
0.435 -2.685 -0.730 Li
1.284 -7.924 -2.154 Br
0.895 -5.521 -1.500 Rh
```



(2)
An optimized crystal structure of LiRhBr2, computed with GGA-PBE.

## Properties
raw total energy	-2.821	eV/atom
formation energy (no corrections)	0.33	eV per atom
energy relative to the lowest polymorph listed for this composition	0.901	eV per atom
N(E_F)	4.7	states/eV/f.u.

Cell and atoms, written as POSCAR:
```
LiRhBr2
1.0
-4.598 1.542 -0.888
-2.464 -1.716 -3.911
-3.798 -3.079 0.636
Rh Li Br
1 1 2
Cartesian
-8.145 -2.440 -3.122 Rh
-5.430 -1.627 -2.081 Li
-2.715 -0.813 -1.041 Br
0.000 0.000 0.000 Br
```